Compound: SrHRh2
Source: the Alexandria database
Functional: PBE
Structure: optimized geometry

a = 5.6895 Å, b = 5.6895 Å, c = 5.6895 Å
α = 60.00°, β = 60.00°, γ = 60.00°
Positions (direct):
Sr 0.1250 0.1250 0.1250
Sr 0.8750 0.8750 0.8750
H 0.3750 0.3750 0.3750
H 0.6250 0.6250 0.6250
Rh 0.0000 0.5000 0.5000
Rh 0.5000 0.0000 0.5000
Rh 0.5000 0.5000 0.0000
Rh 0.5000 0.5000 0.5000

* size of the total moment: 0.00 μB per formula unit
* total energy: -41.8 eV/cell
* space group: Fd-3m
* energy above the most stable polymorph in this dataset: 0 meV/atom

=====

Compound: BeCrIn4
Source: the Alexandria database
Functional: PBE
Structure: optimized geometry

a = 5.9481 Å, b = 5.9481 Å, c = 5.9481 Å
α = 60.00°, β = 60.00°, γ = 60.00°
Positions (direct):
Be 0.0000 0.0000 0.0000
Cr 0.7500 0.7500 0.7500
In 0.3750 0.3750 0.3750
In 0.3750 0.3750 0.8750
In 0.3750 0.8750 0.3750
In 0.8750 0.3750 0.3750

* size of the total moment: 4.47 μB per formula unit
* total energy: -19.4 eV/cell
* DFT formation energy: 815 meV per atom
* space group: F-43m

=====

Compound: AsOsCl2
Source: the Alexandria database
Functional: PBE
Structure: optimized geometry

a = 2.9302 Å, b = 4.3965 Å, c = 5.3711 Å
α = 90.00°, β = 90.00°, γ = 90.00°
Positions (direct):
As 0.0000 0.0000 0.0000
Os 0.5000 0.0000 0.5000
Cl 0.0000 0.5000 0.5000
Cl 0.5000 0.5000 0.0000

* size of the total moment: 0.64 μB per formula unit
* total energy: -16.0 eV/cell
* space group: Pmmm
* energy above the most stable polymorph in this dataset: 965 meV/atom

=====

Compound: LiTh3Se4
Source: the Alexandria database
Functional: PBE
Structure: optimized geometry

a = 7.1888 Å, b = 7.1888 Å, c = 7.1888 Å
α = 131.41°, β = 131.41°, γ = 71.16°
Positions (direct):
Li 0.0000 0.0000 0.0000
Th 0.2500 0.7500 0.5000
Th 0.5000 0.5000 0.0000
Th 0.7500 0.2500 0.5000
Se 0.0000 0.5000 0.5000
Se 0.2366 0.2366 0.0000
Se 0.5000 0.0000 0.5000
Se 0.7634 0.7634 0.0000

* size of the total moment: 0.00 μB per formula unit
* total energy: -50.2 eV/cell
* space group: I4/mmm

=====

Compound: Mg18Al11
Source: the Alexandria database
Functional: PBE
Structure: optimized geometry

a = 9.1489 Å, b = 9.1489 Å, c = 9.1572 Å
α = 109.48°, β = 109.48°, γ = 109.33°
Positions (direct):
Mg 0.0000 0.0000 0.0000
Mg 0.9996 0.6839 0.7436
Mg 0.0023 0.0023 0.3464
Mg 0.0035 0.6582 0.3469
Mg 0.2799 0.6001 0.9423
Mg 0.3110 0.3110 0.0605
Mg 0.3156 0.7147 0.6601
Mg 0.3454 0.3454 0.6906
Mg 0.3954 0.6858 0.3444
Mg 0.3988 0.9985 0.0290
Mg 0.5992 0.5992 0.6252
Mg 0.6001 0.2799 0.9423
Mg 0.6324 0.6324 0.1636
Mg 0.6582 0.0035 0.3469
Mg 0.6839 0.9996 0.7436
Mg 0.6858 0.3954 0.3444
Mg 0.7147 0.3156 0.6601
Mg 0.9985 0.3988 0.0290
Al 0.0014 0.1874 0.7126
Al 0.0016 0.3661 0.5301
Al 0.1815 0.8177 0.1599
Al 0.1863 0.3672 0.3467
Al 0.1874 0.0014 0.7126
Al 0.3661 0.0016 0.5301
Al 0.3672 0.1863 0.3467
Al 0.6350 0.8215 0.9732
Al 0.8177 0.1815 0.1599
Al 0.8215 0.6350 0.9732
Al 0.8216 0.8216 0.5364

* size of the total moment: 0.00 μB per formula unit
* total energy: -70.5 eV/cell
* DFT formation energy: -23 meV per atom
* space group: Cm

=====

Compound: ZnAgRh
Source: the Alexandria database
Functional: PBE
Structure: optimized geometry

a = 2.8330 Å, b = 2.8330 Å, c = 6.6138 Å
α = 90.00°, β = 90.00°, γ = 120.00°
Positions (direct):
Zn 0.0000 0.0000 0.0000
Ag 0.3333 0.6667 0.3408
Rh 0.6667 0.3333 0.6970

* size of the total moment: 0.00 μB per formula unit
* total energy: -11.6 eV/cell
* DFT formation energy: -43 meV per atom
* space group: P3m1
* energy above the most stable polymorph in this dataset: 35 meV/atom

=====

Compound: Rb2Dy2PuO6
Source: the Alexandria database
Functional: PBE
Structure: optimized geometry

a = 6.0375 Å, b = 6.0375 Å, c = 6.9851 Å
α = 98.35°, β = 98.35°, γ = 119.95°
Positions (direct):
Rb 0.1683 0.8317 0.0000
Rb 0.8317 0.1683 0.0000
Dy 0.3341 0.6659 0.5000
Dy 0.6659 0.3341 0.5000
Pu 0.0000 0.0000 0.5000
O 0.0495 0.3819 0.6647
O 0.2644 0.2644 0.3362
O 0.3819 0.0495 0.6647
O 0.6181 0.9505 0.3353
O 0.7356 0.7356 0.6638
O 0.9505 0.6181 0.3353

* size of the total moment: 4.00 μB per formula unit
* total energy: -86.1 eV/cell
* space group: C2/m

=====

Compound: Pr2BiPd9
Source: the Alexandria database
Functional: PBE
Structure: optimized geometry

a = 4.2042 Å, b = 4.2042 Å, c = 12.5097 Å
α = 90.00°, β = 90.00°, γ = 90.00°
Positions (direct):
Pr 0.0000 0.0000 0.1670
Pr 0.0000 0.0000 0.8330
Bi 0.0000 0.0000 0.5000
Pd 0.0000 0.5000 0.0000
Pd 0.0000 0.5000 0.3401
Pd 0.0000 0.5000 0.6599
Pd 0.5000 0.0000 0.0000
Pd 0.5000 0.0000 0.3401
Pd 0.5000 0.0000 0.6599
Pd 0.5000 0.5000 0.1740
Pd 0.5000 0.5000 0.5000
Pd 0.5000 0.5000 0.8260

* size of the total moment: 0.00 μB per formula unit
* total energy: -67.1 eV/cell
* DFT formation energy: -575 meV per atom
* space group: P4/mmm
* energy above the most stable polymorph in this dataset: 0 meV/atom